VASP calculation (PBE) on a relaxed SmHoTlAg crystal.

Cell: 7.5061 7.5061 7.5061 Å, 90.00 90.00 90.00°
Last column: nearest neighbours and their distance in Å.
Space group F-43m (No. 216)
Unique sites:
Sm1 0.0000 0.0000 0.0000 x4  4 Tl 3.25, 4 Ag 3.25
Ho1 0.0000 0.0000 0.5000 x4  4 Tl 3.25, 4 Ag 3.25
Tl1 0.2500 0.2500 0.2500 x4  4 Ho 3.25, 4 Sm 3.25
Ag1 0.2500 0.2500 0.7500 x4  4 Ho 3.25, 4 Sm 3.25

As for the density of states at the Fermi level: 14.00 states/eV/cell. Its formation energy is -328 meV per atom.



VASP calculation (PBE) on a relaxed KCa2CuMo crystal.

Cell: 5.7209 5.7209 4.7505 Å, 90.00 90.00 90.00°
Last column: nearest neighbours and their distance in Å.
Space group P4/mmm (No. 123)
Unique sites:
K1 0.0000 0.0000 0.0000 x1  2 Cu 2.38
Ca1 0.0000 0.5000 0.0000 x2  2 K 2.86
Cu1 0.0000 0.0000 0.5000 x1  2 K 2.38
Mo1 0.5000 0.5000 0.5000 x1  8 Ca 3.72, 4 Cu 4.05

As for the density of states at the Fermi level: 4.53 states/eV/cell. Its formation energy is 1677 meV per atom.



VASP calculation (PBE) on a relaxed Nd2YAg3 crystal.

Cell: 3.6939 3.6939 11.2997 Å, 90.00 90.00 90.00°
Last column: nearest neighbours and their distance in Å.
Space group P4/mmm (No. 123)
Unique sites:
Nd1 0.0000 0.0000 0.1704 x2  8 Ag 3.25-3.27
Y1 0.0000 0.0000 0.5000 x1  8 Ag 3.15
Ag1 0.5000 0.5000 0.0000 x1  8 Nd 3.25
Ag2 0.5000 0.5000 0.3449 x2  4 Y 3.15, 4 Nd 3.27, 1 Ag 3.50

As for the density of states at the Fermi level: 3.64 states/eV/cell. Its formation energy is -283 meV per atom.



VASP calculation (PBE) on a relaxed SrAcLuTl crystal.

Cell: 8.2926 8.2926 8.2926 Å, 90.00 90.00 90.00°
Last column: nearest neighbours and their distance in Å.
Space group F-43m (No. 216)
Unique sites:
Sr1 0.0000 0.0000 0.0000 x4  4 Ac 3.59, 4 Tl 3.59
Ac1 0.2500 0.2500 0.7500 x4  4 Sr 3.59, 4 Lu 3.59
Lu1 0.0000 0.0000 0.5000 x4  4 Tl 3.59, 4 Ac 3.59
Tl1 0.2500 0.2500 0.2500 x4  4 Sr 3.59, 4 Lu 3.59

As for the density of states at the Fermi level: 24.51 states/eV/cell. Its formation energy is 139 meV per atom.



Across the entries above, volume takes the values 26.4 31.1 25.7 35.6 Å³ per atom, respectively.